1.
Entry from Alexandria via LeMat-Bulk: crystalline CsTmPtCl6 at its relaxed geometry (PBE).

Cell: 6.6943 6.6951 7.9807 Å, 90.02 90.00 59.98°
Atoms (fractional coordinates):
Cl (0.6346, 0.9938, 0.3130)
Cl (0.9936, 0.3717, 0.3133)
Cl (0.6346, 0.3716, 0.6869)
Cl (0.9937, 0.6347, 0.6869)
Cl (0.3716, 0.9936, 0.6867)
Cl (0.3716, 0.6347, 0.3132)
Pt (0.6667, 0.6667, 0.5000)
Cs (0.0000, 0.0000, 0.0000)
Tm (0.3334, 0.3334, 0.5000)

The calculation puts the raw formation energy at -1487 meV per atom. The space group is P312.

2.
Entry from Alexandria via LeMat-Bulk: crystalline Cs2PtWCl6 at its relaxed geometry (PBE).

Cell: 8.2787 8.2787 7.4493 Å, 56.24 56.24 90.00°
Atoms (fractional coordinates):
Cl (0.7078, 0.7078, 0.0000)
Cl (0.7574, 0.7574, 0.4852)
Cl (0.2922, 0.2922, 0.0000)
Cl (0.2922, 0.7078, 0.0000)
Cl (0.7078, 0.2922, 0.0000)
Cl (0.2426, 0.2426, 0.5148)
Cs (0.7500, 0.2500, 0.5000)
Cs (0.2500, 0.7500, 0.5000)
Pt (0.0000, 0.0000, 0.0000)
W (0.5000, 0.5000, 0.0000)

The calculation puts the density of states at the Fermi level at 4.5 states/eV/cell. The calculation puts the raw formation energy at -947 meV per atom. The space group is I4/mmm.

3.
Entry from Alexandria via LeMat-Bulk: crystalline Cs2YPtCl6 at its relaxed geometry (PBE).

Cell: 7.9541 7.9541 7.5397 Å, 58.16 58.16 90.00°
Atoms (fractional coordinates):
Cl (0.2657, 0.7343, 0.0000)
Cl (0.2342, 0.2342, 0.5317)
Cl (0.2657, 0.2657, 0.0000)
Cl (0.7658, 0.7658, 0.4683)
Cl (0.7343, 0.2657, 0.0000)
Cl (0.7343, 0.7343, 0.0000)
Cs (0.7500, 0.2500, 0.5000)
Cs (0.2500, 0.7500, 0.5000)
Y (0.5000, 0.5000, 0.0000)
Pt (0.0000, 0.0000, 0.0000)

The calculation puts the density of states at the Fermi level at 1.0 states/eV/cell. The calculation puts the raw formation energy at -1585 meV per atom. The space group is I4/mmm.

4.
Entry from Alexandria via LeMat-Bulk: crystalline CsPu4Cl12 at its relaxed geometry (PBE).

Cell: 9.2114 9.2114 9.2114 Å, 109.47 109.47 109.47°
Atoms (fractional coordinates):
Pu (0.0000, 0.5000, 0.0000)
Pu (0.0000, 0.0000, 0.5000)
Pu (0.5000, 0.0000, 0.0000)
Pu (0.5000, 0.5000, 0.5000)
Cl (0.1931, 0.2870, 0.4801)
Cl (0.7130, 0.9060, 0.1931)
Cl (0.7130, 0.5199, 0.8069)
Cl (0.1931, 0.7130, 0.9060)
Cl (0.2870, 0.4801, 0.1931)
Cl (0.2870, 0.0940, 0.8069)
Cl (0.8069, 0.7130, 0.5199)
Cl (0.0940, 0.8069, 0.2870)
Cl (0.4801, 0.1931, 0.2870)
Cl (0.5199, 0.8069, 0.7130)
Cl (0.9060, 0.1931, 0.7130)
Cl (0.8069, 0.2870, 0.0940)
Cs (0.0000, 0.0000, 0.0000)

The calculation puts the density of states at the Fermi level at 47.1 states/eV/cell. The calculation puts the raw formation energy at -1935 meV per atom. The space group is Im-3.

5.
Entry from Alexandria via LeMat-Bulk: crystalline CsPu2Cl6 at its relaxed geometry (PBE).

Cell: 7.3184 7.3184 7.6108 Å, 90.00 90.00 120.00°
Atoms (fractional coordinates):
Cl (0.6204, 0.0000, 0.2917)
Cl (0.3796, 0.3796, 0.2917)
Cl (0.3796, 0.0000, 0.7083)
Cl (0.0000, 0.3796, 0.7083)
Cl (0.6204, 0.6204, 0.7083)
Cl (0.0000, 0.6204, 0.2917)
Cs (0.0000, 0.0000, 0.0000)
Pu (0.3333, 0.6667, 0.5000)
Pu (0.6667, 0.3333, 0.5000)

The calculation puts the density of states at the Fermi level at 24.0 states/eV/cell. The calculation puts the raw formation energy at -1980 meV per atom. The space group is P-31m.

6.
Entry from Alexandria via LeMat-Bulk: crystalline Cs3PuCl8 at its relaxed geometry (PBE).

Cell: 7.7162 7.7162 9.3049 Å, 114.50 114.50 90.00°
Atoms (fractional coordinates):
Cl (0.6900, 0.1003, 0.7903)
Cl (0.8997, 0.3100, 0.2097)
Cl (0.1003, 0.6900, 0.7903)
Cl (0.3100, 0.8997, 0.2097)
Cl (0.6900, 0.6900, 0.7903)
Cl (0.1003, 0.1003, 0.7903)
Cl (0.8997, 0.8997, 0.2097)
Cl (0.3100, 0.3100, 0.2097)
Cs (0.2500, 0.7500, 0.5000)
Cs (0.7500, 0.2500, 0.5000)
Cs (0.5000, 0.5000, 0.0000)
Pu (0.0000, 0.0000, 0.0000)

The calculation puts the density of states at the Fermi level at 7.4 states/eV/cell. For the energy above the most stable polymorph in this dataset, the calculation gives 0.0597 eV/atom. The calculation puts the raw formation energy at -1653 meV per atom. The space group is I4/mmm.

VASP energy across the listed records, respectively: -35.83; -41.26; -41.14; -113.23; -58.42; -51.50 eV per formula unit.